one.
Computed, not measured: a relaxed structure of Zn6CoAu at the GGA-PBE level of DFT.

extended XYZ file:
```
8
Lattice="4.7184 -0.3277 0.2754 2.0181 5.6496 1.0669 3.0307 3.1462 4.9563" Properties=species:S:1:pos:R:3 pbc="T T T"
Zn 7.2840 5.1816 3.9921
Zn 2.4832 3.2864 2.3065
Zn 4.9619 6.3929 4.5084
Zn 7.3711 7.5188 5.4593
Zn 2.3961 0.9493 0.8393
Zn 4.8053 2.0752 1.7902
Co 4.8836 4.2340 3.1493
Au 0.0000 0.0000 0.0000
```

DOS(E_F) ... 4.38 states/eV/cell

=====

two.
Computed, not measured: a relaxed structure of Zn6CoAu at the GGA-PBE level of DFT.

extended XYZ file:
```
8
Lattice="-0.3378 -3.5985 -1.2452 1.9165 0.9196 -3.1773 6.7261 -1.8501 3.5217" Properties=species:S:1:pos:R:3 pbc="T T T"
Zn 0.7893 -1.3394 -2.2113
Zn 4.7458 -3.1511 1.9506
Zn 4.1524 -2.2645 -0.4504
Zn 1.6425 -2.2975 0.3258
Zn 5.8729 -0.8921 0.9846
Zn 2.7697 -0.0385 -0.6402
Co 3.3630 -0.9250 1.7608
Au 0.0000 0.0000 0.0000
```

DOS(E_F) ... 3.70 states/eV/cell

=====

The structure with the greatest stability is two.

=====

one.
Computed, not measured: a relaxed structure of Zn6CoAu2 at the GGA-PBE level of DFT.

extended XYZ file:
```
9
Lattice="-1.4591 3.4448 1.5168 -4.5511 -3.1927 2.8729 6.7317 -0.8882 2.8616" Properties=species:S:1:pos:R:3 pbc="T T T"
Zn -2.3838 -2.7027 3.8196
Zn -1.7298 1.0207 1.3898
Zn 0.1432 -0.9300 2.2244
Zn 3.1053 2.0666 3.4317
Zn 0.5783 0.2938 5.0269
Zn -4.2804 -0.7686 2.9999
Au 2.5172 -0.5303 3.3983
Au -1.7957 -0.1058 3.8530
Co 0.0000 0.0000 0.0000
```

DOS(E_F) ... 4.41 states/eV/cell

=====

two.
Computed, not measured: a relaxed structure of Zn6CoAu2 at the GGA-PBE level of DFT.

extended XYZ file:
```
9
Lattice="3.7717 -0.0005 0.0006 -0.0002 6.4973 3.7332 -0.0014 1.9341 7.2396" Properties=species:S:1:pos:R:3 pbc="T T T"
Zn 1.8853 5.3067 4.6482
Zn -0.0002 4.2024 2.9772
Zn 1.8848 3.1242 6.3252
Zn 3.7703 4.2285 7.9962
Zn -0.0008 1.7945 4.8274
Zn 3.7709 6.6364 6.1460
Au 1.8854 2.2775 2.9646
Au 1.8847 6.1534 8.0088
Co 0.0000 0.0000 0.0000
```

DOS(E_F) ... 4.16 states/eV/cell

=====

The structure with the greatest stability is one.

=====

one.
Computed, not measured: a relaxed structure of Zr3CoAu at the GGA-PBE level of DFT.

extended XYZ file:
```
10
Lattice="-5.2842 1.3183 -1.0346 -3.0176 -4.4621 -1.3093 -4.7086 -2.1273 5.9142" Properties=species:S:1:pos:R:3 pbc="T T T"
Zr -9.1450 -3.7028 2.4627
Zr -3.8619 -1.7293 4.5245
Zr -6.7177 -2.8481 4.5048
Zr -9.1486 -3.5419 -0.9542
Zr -3.8655 -1.5683 1.1077
Zr -6.2928 -2.4230 -0.9345
Co -4.6067 -0.4097 -1.1167
Co -3.6952 -2.7342 -1.2272
Au -7.0020 -1.3688 1.8454
Au -6.0085 -3.9024 1.7250
```

DOS(E_F) ... 10.21 states/eV/cell

=====

two.
Computed, not measured: a relaxed structure of Zr3CoAu at the GGA-PBE level of DFT.

extended XYZ file:
```
5
Lattice="4.7869 0.0000 0.0000 0.0000 4.7869 0.0000 0.0000 0.0000 4.7869" Properties=species:S:1:pos:R:3 pbc="T T T"
Zr 0.0000 0.0000 2.3934
Zr 2.3934 0.0000 0.0000
Zr 0.0000 2.3934 0.0000
Co 0.0000 0.0000 0.0000
Au 2.3934 2.3934 2.3934
```

DOS(E_F) ... 8.56 states/eV/cell

=====

The structure with the greatest stability is one.

=====

one.
Computed, not measured: a relaxed structure of ZrCo3Au at the GGA-PBE level of DFT.

extended XYZ file:
```
5
Lattice="-2.7641 -3.3014 -1.3442 1.6353 0.3370 -4.1903 3.1673 -3.0551 0.9904" Properties=species:S:1:pos:R:3 pbc="T T T"
Co 0.8176 0.1685 -2.0951
Co -1.3820 -1.6507 -0.6721
Co 1.5837 -1.5275 0.4952
Au 1.0193 -3.0097 -2.2721
Zr 0.0000 0.0000 0.0000
```

DOS(E_F) ... 9.09 states/eV/cell

=====

two.
Computed, not measured: a relaxed structure of ZrCo3Au at the GGA-PBE level of DFT.

extended XYZ file:
```
5
Lattice="4.6146 0.0000 0.0000 0.0000 4.6146 0.0000 0.0000 0.0000 4.6146" Properties=species:S:1:pos:R:3 pbc="T T T"
Co 2.3073 0.0000 0.0000
Co 0.0000 0.0000 2.3073
Co 0.0000 2.3073 0.0000
Au 0.0000 0.0000 0.0000
Zr 2.3073 2.3073 2.3073
```

DOS(E_F) ... 12.91 states/eV/cell

=====

The structure with the greatest stability is two.